Compound: MnIn2P
Source: Alexandria
Functional: GGA-PBE
Structure: optimized geometry

Cell and atoms, written as POSCAR:
```
MnIn2P
1.0
7.575 -1.805 0.000
7.575 1.805 0.000
-0.002 0.000 3.044
Mn In P
1 2 1
Direct
0.000 0.000 0.000 Mn
0.167 0.167 0.504 In
0.833 0.833 0.496 In
0.500 0.500 0.500 P
```

Output
- ΔE_f (meV/atom) = 17
- Fermi-level density of states (states/eV per cell) = 2.33
- total energy (Ha/atom) = -0.1836

---

Compound: CuO5
Source: Alexandria
Functional: GGA-PBE
Structure: optimized geometry

Cell and atoms, written as POSCAR:
```
CuO5
1.0
3.195 0.000 0.000
-1.551 2.794 0.000
-0.799 -1.299 10.874
Cu O
1 5
Direct
0.000 0.000 0.000 Cu
0.017 0.644 0.375 O
0.338 0.663 0.000 O
0.635 0.154 0.733 O
0.686 0.067 0.626 O
0.837 0.509 0.267 O
```

Output
- energy relative to the elements, uncorrected (eV per atom) = -0.09
- Fermi-level density of states (states/eV per cell) = 2.55
- total energy (Ha/atom) = -0.1802

---

Compound: Mn3CrPb
Source: Alexandria
Functional: GGA-PBE
Structure: optimized geometry

Cell and atoms, written as POSCAR:
```
Mn3CrPb
1.0
4.498 0.000 0.000
0.000 4.498 0.000
0.000 0.000 4.498
Mn Cr Pb
3 1 1
Direct
0.000 0.000 0.500 Mn
0.000 0.500 0.000 Mn
0.500 0.000 0.000 Mn
0.000 0.000 0.000 Cr
0.500 0.500 0.500 Pb
```

Output
- ΔE_f (meV/atom) = 842
- Fermi-level density of states (states/eV per cell) = 5.31
- energy above the most stable polymorph in this dataset (meV per atom) = 0
- total energy (Ha/atom) = -0.2692

---

Compound: Ac6Si2HgTe3
Source: Alexandria
Functional: GGA-PBE
Structure: optimized geometry

Cell and atoms, written as POSCAR:
```
Ac6Si2HgTe3
1.0
10.287 -2.320 0.000
10.287 2.320 0.000
-2.403 0.000 9.247
Ac Si Hg Te
6 2 1 3
Direct
0.008 0.008 0.254 Ac
0.327 0.327 0.433 Ac
0.332 0.332 0.894 Ac
0.668 0.668 0.106 Ac
0.673 0.673 0.567 Ac
0.992 0.992 0.746 Ac
0.166 0.166 0.333 Si
0.834 0.834 0.667 Si
0.500 0.500 0.000 Hg
0.165 0.165 0.833 Te
0.500 0.500 0.500 Te
0.835 0.835 0.167 Te
```

Output
- energy relative to the elements, uncorrected (eV per atom) = -1.03
- Fermi-level density of states (states/eV per cell) = 9.13
- total energy (Ha/atom) = -0.1763